# 1
The following is a PBE-GGA calculation of an optimized crystal structure of Li2Hg2Se3, from OQMD.

```
7
Lattice="2.856 1.649 5.373 -2.856 1.649 5.373 0.000 -3.298 5.373" Properties=species:S:1:pos:R:3 pbc="T T T"
Li 0.000 0.000 8.060
Li 0.000 0.000 0.000
Se 0.000 -1.649 2.687
Se -1.428 0.824 2.687
Se 1.428 0.824 2.687
Hg 0.000 0.000 10.687
Hg 0.000 0.000 5.433
```

Properties
**E**: -2.42 eV/atom
**Symmetry**: R-3m

# 2
The following is a PBE-GGA calculation of an optimized crystal structure of LaTbFe2Ge4, from OQMD.

```
8
Lattice="4.412 0.000 0.000 0.000 4.250 0.000 -2.064 0.000 7.987" Properties=species:S:1:pos:R:3 pbc="T T T"
La -0.957 0.000 5.649
Ge 1.211 2.125 4.774
Ge 3.590 0.000 0.038
Ge 0.829 2.125 0.027
Ge 1.134 0.000 3.169
Fe 0.901 2.125 7.123
Fe 1.461 0.000 0.890
Tb 3.285 2.125 2.289
```

Properties
**E**: -6.13 eV/atom
**Symmetry**: Pm

# 3
The following is a PBE-GGA calculation of an optimized crystal structure of Cs2PuAg2Te4, from OQMD.

```
9
Lattice="-6.853 4.635 -0.732 3.264 -5.768 -5.006 -3.623 -4.848 3.224" Properties=species:S:1:pos:R:3 pbc="T T T"
Ag -1.795 -0.567 -2.869
Ag -1.811 -2.424 1.612
Pu 0.000 0.000 0.000
Te -0.767 -2.601 -1.087
Te -4.653 -0.983 -3.021
Te -4.328 -5.557 -2.321
Te -4.676 -2.822 1.401
Cs -1.046 -6.468 -0.120
Cs -4.372 1.053 0.475
```

Properties
**E**: -4.47 eV/atom
**Symmetry**: C222

# 4
The following is a PBE-GGA calculation of an optimized crystal structure of Li2Mg2Zn2PdPt, from OQMD.

```
8
Lattice="-0.310 4.373 -0.474 -3.926 -0.061 2.005 2.802 0.797 5.511" Properties=species:S:1:pos:R:3 pbc="T T T"
Pd 0.000 0.000 0.000
Zn 0.138 0.567 5.135
Zn 0.546 2.386 1.142
Mg 1.946 2.784 3.895
Mg -1.262 0.169 2.381
Li 1.401 0.398 2.756
Li -2.118 2.156 0.765
Pt -0.717 2.554 3.521
```

Properties
**E**: -3.13 eV/atom
**Symmetry**: P-4m2

# 5
The following is a PBE-GGA calculation of an optimized crystal structure of LiSi2Os2, from OQMD.

```
5
Lattice="-5.294 -0.627 1.970 -4.020 3.746 -1.451 3.999 -3.146 -2.531" Properties=species:S:1:pos:R:3 pbc="T T T"
Si -5.774 1.933 0.321
Si -3.540 1.185 0.197
Li 0.000 0.000 0.000
Os -2.976 -1.106 -0.151
Os -2.339 1.080 -1.862
```

Properties
**E**: -7.27 eV/atom
**Symmetry**: I4/mmm

# 6
The following is a PBE-GGA calculation of an optimized crystal structure of LiGaCo2, from OQMD.

```
4
Lattice="0.000 2.844 2.844 2.844 0.000 2.844 2.844 2.844 0.000" Properties=species:S:1:pos:R:3 pbc="T T T"
Co 4.267 4.267 4.267
Co 0.000 0.000 0.000
Li 1.422 1.422 1.422
Ga 2.844 2.844 2.844
```

Properties
**E**: -4.91 eV/atom
**Symmetry**: F-43m

# 7
The following is a PBE-GGA calculation of an optimized crystal structure of NbCoSiAu, from OQMD.

```
4
Lattice="0.000 3.109 3.109 3.109 0.000 3.109 3.109 3.109 0.000" Properties=species:S:1:pos:R:3 pbc="T T T"
Au 1.555 1.555 1.555
Co 4.664 4.664 4.664
Nb 3.109 3.109 3.109
Si 0.000 0.000 0.000
```

Properties
**E**: -6.32 eV/atom
**Symmetry**: F-43m

# 8
The following is a PBE-GGA calculation of an optimized crystal structure of Pr2DyN3, from OQMD.

```
6
Lattice="-2.060 -1.339 2.630 -0.573 -0.987 -3.414 5.642 -6.724 0.998" Properties=species:S:1:pos:R:3 pbc="T T T"
N 2.131 -5.626 1.269
N 0.877 -3.424 -1.055
N 0.000 0.000 0.000
Pr 3.602 -6.671 -0.573
Pr -0.594 -2.378 0.787
Dy 2.821 -3.362 0.499
```

Properties
**E**: -7.92 eV/atom
**Symmetry**: P-3m1

- What is the formula in the third record?
  Cs2PuAg2Te4